1.
Density functional theory data (PBE) for LaGdMg2Ag2 after structural relaxation.

* total DFT energy (no corrections): -3.331 eV/atom
* mass density: 6183 kg/m3

```
LaGdMg2Ag2
1.0
7.802 0.000 0.000
0.000 4.296 0.000
-0.022 0.000 13.472
La Gd Mg Ag
3 3 6 6
Direct
0.000 0.000 0.000
0.123 0.000 0.294
0.624 0.000 0.789
0.000 0.000 0.582
0.501 0.000 0.086
0.501 0.000 0.498
0.327 0.500 0.667
0.330 0.500 0.912
0.469 0.500 0.294
0.822 0.500 0.172
0.825 0.500 0.414
0.969 0.500 0.787
0.205 0.000 0.787
0.211 0.500 0.463
0.219 0.500 0.125
0.702 0.000 0.292
0.702 0.500 0.962
0.710 0.500 0.619
```

2.
Density functional theory data (PBE) for PmTcO3 after structural relaxation.

* total DFT energy (no corrections): -7.968 eV/atom
* mass density: 7575 kg/m3

```
PmTcO3
1.0
3.963 0.000 0.000
0.000 3.963 0.000
0.000 0.000 4.062
Pm Tc O
1 1 3
Direct
0.000 0.000 0.000
0.500 0.500 0.590
0.000 0.500 0.634
0.500 0.000 0.634
0.500 0.500 0.093
```

3.
Density functional theory data (PBE) for HfSbIr2 after structural relaxation.

* total DFT energy (no corrections): -8.002 eV/atom
* mass density: 16100 kg/m3

```
HfSbIr2
1.0
0.000 3.281 3.281
3.281 0.000 3.281
3.281 3.281 0.000
Hf Sb Ir
1 1 2
Direct
0.000 0.000 0.000
0.750 0.750 0.750
0.250 0.250 0.250
0.500 0.500 0.500
```

4.
Density functional theory data (PBE) for PaCoAu after structural relaxation.

* energy above the most stable polymorph in this dataset: 0.00 eV per formula unit
* calculated formation energy: -0.146 eV per atom
* mass density: 13266 kg/m3

```
PaCoAu
1.0
0.000 3.124 3.124
3.124 0.000 3.124
3.124 3.124 0.000
Pa Co Au
1 1 1
Direct
0.000 0.000 0.000
0.750 0.750 0.750
0.500 0.500 0.500
```

5.
Density functional theory data (PBE) for CsTbSnTe3 after structural relaxation.

* total DFT energy (no corrections): -4.069 eV/atom
* mass density: 5260 kg/m3

```
CsTbSnTe3
1.0
2.215 -8.777 0.000
2.215 8.777 0.000
0.000 0.000 12.883
Cs Tb Sn Te
2 2 2 6
Direct
0.220 0.780 0.750
0.780 0.220 0.250
0.500 0.500 0.000
0.500 0.500 0.500
0.093 0.907 0.250
0.907 0.093 0.750
0.122 0.878 0.011
0.122 0.878 0.489
0.481 0.519 0.250
0.519 0.481 0.750
0.878 0.122 0.511
0.878 0.122 0.989
```

6.
Density functional theory data (PBE) for SrHgSeO after structural relaxation.

* energy above the most stable polymorph in this dataset: 2.49 eV per formula unit
* mass density: 5279 kg/m3

```
SrHgSeO
1.0
5.745 0.000 0.000
0.000 5.745 0.000
0.000 0.000 7.302
Sr Hg Se O
2 2 2 2
Direct
0.250 0.750 0.000
0.750 0.250 0.000
0.250 0.250 0.295
0.750 0.750 0.705
0.250 0.250 0.844
0.750 0.750 0.156
0.250 0.250 0.598
0.750 0.750 0.402
```